No. 1
DFT (PBE-GGA) results for a relaxed structure of Ho2HfBi2N2.

a = 4.2010 Å, b = 4.2010 Å, c = 8.8745 Å
α = 103.69°, β = 103.69°, γ = 90.00°
Closest atoms and distances in Å follow each position.
Atoms (fractional coordinates):
Bi 0.1895 0.1895 0.3790  1 Hf 3.17, 4 Ho 3.38
N 0.0000 0.5000 0.0000  2 Hf 2.10
Hf 0.0000 0.0000 0.0000  4 N 2.10
Bi 0.8105 0.8105 0.6210  1 Hf 3.17, 4 Ho 3.38
Ho 0.4065 0.4065 0.8131  4 N 2.62
Ho 0.5935 0.5935 0.1869  4 N 2.62
N 0.5000 0.0000 0.0000  2 Hf 2.10

Results
Symmetry: I4/mmm, No. 139
Formation energy from raw total energies (meV per atom): -1027

***

No. 2
DFT (PBE-GGA) results for a relaxed structure of K3Tm3MnTe8.

a = 8.6326 Å, b = 8.6386 Å, c = 9.8181 Å
α = 116.13°, β = 90.00°, γ = 119.99°
Closest atoms and distances in Å follow each position.
Atoms (fractional coordinates):
Tm 0.0000 0.5000 0.5000  6 Te 3.05-3.06
Te 0.2182 0.4363 0.6918  1 Mn 2.82, 2 Tm 3.06
Te 0.7818 0.5637 0.3082  1 Mn 2.82, 2 Tm 3.06
Tm 0.5000 0.0000 0.5000  6 Te 3.05-3.06
Te 0.7818 0.0264 0.3082  1 Mn 2.82, 2 Tm 3.06
Te 0.7555 0.9736 0.6918  1 Mn 2.82, 2 Tm 3.06
K 0.0000 0.5000 0.0000  6 Te 3.51-3.55
K 0.0000 0.0000 0.0000  6 Te 3.51-3.55
Tm 0.5000 0.5000 0.5000  6 Te 3.05-3.06
K 0.5000 0.5000 0.0000  6 Te 3.51-3.55
Te 0.2445 0.0264 0.3082  1 Mn 2.82, 2 Tm 3.06
Mn 0.0000 0.0000 0.5000  6 Te 2.82
Te 0.2182 0.9736 0.6918  1 Mn 2.82, 2 Tm 3.06
Te 0.7358 0.4716 0.7074  3 Tm 3.05
Te 0.2642 0.5284 0.2926  3 Tm 3.05

Results
Symmetry: C2/m, No. 12
Formation energy from raw total energies (meV per atom): -1075

***

No. 3
DFT (PBE-GGA) results for a relaxed structure of YGaSb2I.

a = 5.8541 Å, b = 5.8541 Å, c = 6.0375 Å
α = 90.00°, β = 90.00°, γ = 90.00°
Closest atoms and distances in Å follow each position.
Atoms (fractional coordinates):
Sb 0.0000 0.5000 0.0000  2 Y 2.93
I 0.0000 0.0000 0.5000  2 Y 3.02
Ga 0.5000 0.5000 0.5000  4 I 4.14, 8 Sb 4.20
Y 0.0000 0.0000 0.0000  4 Sb 2.93, 2 I 3.02
Sb 0.5000 0.0000 0.0000  2 Y 2.93

Results
Relative energy among the computed polymorphs (eV per atom): 0.000
Symmetry: P4/mmm, No. 123
Formation energy from raw total energies (meV per atom): 47

***

No. 4
DFT (PBE-GGA) results for a relaxed structure of LiEuPd2.

a = 3.4261 Å, b = 3.4261 Å, c = 6.4450 Å
α = 90.00°, β = 90.00°, γ = 90.00°
Closest atoms and distances in Å follow each position.
Atoms (fractional coordinates):
Eu 0.5000 0.5000 0.5000  8 Pd 3.05, 2 Li 3.22
Pd 0.0000 0.0000 0.2133  1 Pd 2.75, 4 Li 2.79, 4 Eu 3.05
Pd 0.0000 0.0000 0.7867  1 Pd 2.75, 4 Li 2.79, 4 Eu 3.05
Li 0.5000 0.5000 0.0000  8 Pd 2.79

Results
Energy of formation (meV/atom): -463
Symmetry: P4/mmm, No. 123

***

No. 5
DFT (PBE-GGA) results for a relaxed structure of Na3CrCd.

a = 5.7050 Å, b = 5.7050 Å, c = 5.7050 Å
α = 90.00°, β = 90.00°, γ = 90.00°
Closest atoms and distances in Å follow each position.
Atoms (fractional coordinates):
Na 0.5000 0.0000 0.0000  2 Cd 2.85
Na 0.0000 0.5000 0.0000  2 Cd 2.85
Cd 0.0000 0.0000 0.0000  6 Na 2.85
Na 0.0000 0.0000 0.5000  2 Cd 2.85
Cr 0.5000 0.5000 0.5000  12 Na 4.03

Results
Energy of formation (meV/atom): 711
Relative energy among the computed polymorphs (eV per atom): 0.000
Symmetry: Pm-3m, No. 221

***

No. 6
DFT (PBE-GGA) results for a relaxed structure of Tb2Sm8Dy.

a = 6.7039 Å, b = 10.3061 Å, c = 10.3061 Å
α = 38.25°, β = 59.63°, γ = 59.63°
Closest atoms and distances in Å follow each position.
Atoms (fractional coordinates):
Tb 0.5929 0.8013 0.8013  7 Sm 3.37-3.68
Dy 0.0000 0.0000 0.0000  4 Sm 3.35
Tb 0.4071 0.1987 0.1987  7 Sm 3.37-3.68
Sm 0.8268 0.2444 0.2444  5 Sm 3.30-3.48, 4 Tb 3.37-3.64
Sm 0.2293 0.8256 0.3498  5 Sm 3.21-3.54, 1 Dy 3.35, 1 Tb 3.46
Sm 0.7278 0.5915 0.5915  8 Sm 3.36-3.74, 1 Tb 3.68
Sm 0.2293 0.3498 0.8256  5 Sm 3.21-3.54, 1 Dy 3.35, 1 Tb 3.46
Sm 0.7707 0.6502 0.1744  5 Sm 3.21-3.54, 1 Dy 3.35, 1 Tb 3.46
Sm 0.1732 0.7556 0.7556  5 Sm 3.30-3.48, 4 Tb 3.37-3.64
Sm 0.2722 0.4085 0.4085  8 Sm 3.36-3.74, 1 Tb 3.68
Sm 0.7707 0.1744 0.6502  5 Sm 3.21-3.54, 1 Dy 3.35, 1 Tb 3.46

Results
Energy of formation (meV/atom): 167
Symmetry: C2/m, No. 12

***

No. 7
DFT (PBE-GGA) results for a relaxed structure of TcSn3Ir.

a = 5.0686 Å, b = 5.0686 Å, c = 5.0686 Å
α = 90.00°, β = 90.00°, γ = 90.00°
Closest atoms and distances in Å follow each position.
Atoms (fractional coordinates):
Tc 0.0000 0.0000 0.0000  6 Sn 2.53
Sn 0.0000 0.0000 0.5000  2 Tc 2.53
Sn 0.0000 0.5000 0.0000  2 Tc 2.53
Sn 0.5000 0.0000 0.0000  2 Tc 2.53
Ir 0.5000 0.5000 0.5000  12 Sn 3.58

Results
Energy of formation (meV/atom): 922
Relative energy among the computed polymorphs (eV per atom): 0.014
Symmetry: Pm-3m, No. 221

***

No. 8
DFT (PBE-GGA) results for a relaxed structure of Tl2P2Ir.

a = 6.0003 Å, b = 6.0003 Å, c = 5.9530 Å
α = 90.00°, β = 90.00°, γ = 90.00°
Closest atoms and distances in Å follow each position.
Atoms (fractional coordinates):
Tl 0.8057 0.3057 0.5000  5 Tl 3.07-3.30, 2 P 3.33
Ir 0.0000 0.0000 0.0000  4 P 2.35
P 0.6300 0.1300 0.0000  1 P 2.21, 2 Ir 2.35
Tl 0.6943 0.8057 0.5000  5 Tl 3.07-3.30, 2 P 3.33
P 0.1300 0.3700 0.0000  1 P 2.21, 2 Ir 2.35
Tl 0.3057 0.1943 0.5000  5 Tl 3.07-3.30, 2 P 3.33
P 0.8700 0.6300 0.0000  1 P 2.21, 2 Ir 2.35
P 0.3700 0.8700 0.0000  1 P 2.21, 2 Ir 2.35
Tl 0.1943 0.6943 0.5000  5 Tl 3.07-3.30, 2 P 3.33
Ir 0.5000 0.5000 0.0000  4 P 2.35

Results
Energy of formation (meV/atom): -149
Symmetry: P4/mbm, No. 127

***

Taking the records one at a time from the top gives M_tot values of 0.0; 3.1; 0.0; 6.9; 5.2; 0.0; 1.8; 0.0 μB per cell.
Taking the records one at a time from the top gives density of states at the Fermi level values of 0.46; 0.19; 1.03; 3.20; 0.56; 1.60; 2.13; 0.33 states/eV per atom.